The following is a DFT calculation (PBE+U) of crystalline Sr3PrMn4O12 at its relaxed geometry.

- Electronic total energy: -7.13 eV/atom
- Volume: 11.74 Å³ per atom

CIF file:
```
data_Sr3PrMn4O12
_chemical_formula_sum 'Sr6 Pr2 Mn8 O24'
_symmetry_space_group_name_H-M 'I m -3 m'
_symmetry_Int_Tables_number 229
_symmetry_space_group_name_Hall '-I 4 2 3'
_cell_length_a 7.7717
_cell_length_b 7.7717
_cell_length_c 7.7717
_cell_angle_alpha 90.00
_cell_angle_beta 90.00
_cell_angle_gamma 90.00
loop_
_atom_site_label
_atom_site_fract_x
_atom_site_fract_y
_atom_site_fract_z
_atom_site_occupancy
Sr1 0.0000 0.0000 0.5000 1
Pr1 0.0000 0.0000 0.0000 1
Mn1 0.2500 0.2500 0.2500 1
O1 0.0000 0.2451 0.2451 1
```